Compound: Sm3Si3B8
Source: Alexandria via LeMat-Bulk
Functional: GGA-PBE
Structure: optimized geometry

Values from the calculation:
Volume, Å³/cell: 183.41
Mass density, g cm⁻³: 5.63
SG: No. 71
E_form (uncorrected), eV/atom: -0.014

a = 8.066 Å, b = 8.066 Å, c = 8.066 Å
α = 157.31°, β = 113.97°, γ = 70.80°
Element x y z (fractional)
Sm: 0.000 0.000 0.000
Sm: 0.284 0.284 0.000
Sm: 0.716 0.716 0.000
Si: 0.290 0.500 0.790
Si: 0.500 0.000 0.500
Si: 0.710 0.500 0.210
B: 0.045 0.360 0.685
B: 0.105 0.863 0.242
B: 0.326 0.640 0.685
B: 0.380 0.137 0.242
B: 0.620 0.863 0.758
B: 0.674 0.360 0.315
B: 0.895 0.137 0.758
B: 0.955 0.640 0.315


Compound: Tm2SeCl3
Source: Alexandria via LeMat-Bulk
Functional: GGA-PBE
Structure: optimized geometry

Values from the calculation:
Volume, Å³/cell: 335.13
Mass density, g cm⁻³: 5.18
SG: No. 12
E_form (uncorrected), eV/atom: -1.920

a = 8.287 Å, b = 8.287 Å, c = 12.571 Å
α = 123.97°, β = 123.97°, γ = 28.36°
Element x y z (fractional)
Tm: 0.103 0.103 0.446
Tm: 0.369 0.369 0.164
Tm: 0.631 0.631 0.836
Tm: 0.897 0.897 0.554
Se: 0.114 0.114 0.681
Se: 0.886 0.886 0.319
Cl: 0.161 0.161 0.008
Cl: 0.268 0.268 0.411
Cl: 0.438 0.438 0.731
Cl: 0.562 0.562 0.269
Cl: 0.732 0.732 0.589
Cl: 0.839 0.839 0.992


Compound: Sr2Hg4Pb3
Source: Alexandria via LeMat-Bulk
Functional: GGA-PBE
Structure: optimized geometry

Values from the calculation:
Calculated formation energy, eV per atom: -0.341
Volume, Å³/cell: 266.49
Mass density, g cm⁻³: 9.96
SG: No. 12

a = 5.391 Å, b = 5.391 Å, c = 10.546 Å
α = 90.72°, β = 90.72°, γ = 60.42°
Element x y z (fractional)
Sr: 0.167 0.167 0.283
Sr: 0.833 0.833 0.717
Hg: 0.166 0.166 0.609
Hg: 0.500 0.500 0.156
Hg: 0.500 0.500 0.844
Hg: 0.834 0.834 0.391
Pb: 0.167 0.167 0.940
Pb: 0.500 0.500 0.500
Pb: 0.833 0.833 0.060